[1]
This record from Alexandria via LeMat-Bulk describes a relaxed structure of Tb6PrDy6. The functional is GGA-PBE.

Unit cell a=6.5768 b=6.5768 c=11.1386 alpha=90.00 beta=90.00 gamma=115.52
Closest atoms and distances in Å follow each position.
Element x y z (fractional)
Tb 0.0000 0.0000 0.6622  3 Tb 3.47-3.61, 6 Dy 3.51-3.53, 1 Pr 3.76
Tb 0.0000 0.0000 0.3378  3 Tb 3.47-3.61, 6 Dy 3.51-3.53, 1 Pr 3.76
Tb 0.3561 0.6438 0.0000  1 Tb 3.20, 4 Dy 3.29
Tb 0.6439 0.3562 0.0000  1 Tb 3.20, 4 Dy 3.29
Tb 0.2659 0.7341 0.5000  6 Dy 3.42-3.52, 4 Tb 3.47-3.53
Tb 0.7341 0.2659 0.5000  6 Dy 3.42-3.52, 4 Tb 3.47-3.53
Pr 0.0000 0.0000 0.0000  8 Tb 3.76-3.96, 8 Dy 4.14
Dy 0.0000 0.5000 0.7735  6 Tb 3.29-3.52, 4 Dy 3.39-3.51
Dy 0.5000 0.0000 0.7735  6 Tb 3.29-3.52, 4 Dy 3.39-3.51
Dy 0.5000 0.5000 0.6986  4 Dy 3.39, 6 Tb 3.42-3.72
Dy 0.5000 0.0000 0.2265  6 Tb 3.29-3.52, 4 Dy 3.39-3.51
Dy 0.0000 0.5000 0.2265  6 Tb 3.29-3.52, 4 Dy 3.39-3.51
Dy 0.5000 0.5000 0.3014  4 Dy 3.39, 6 Tb 3.42-3.72

Summary:
**Crystal system**: orthorhombic
**Energy of formation**: 222 meV per atom
**SG**: Cmmm (65)

---

[2]
This record from Alexandria via LeMat-Bulk describes a relaxed structure of AcCe2Tl9. The functional is GGA-PBE.

Unit cell a=4.8968 b=4.8968 c=14.6667 alpha=90.00 beta=90.00 gamma=90.00
Closest atoms and distances in Å follow each position.
Element x y z (fractional)
Ac 0.0000 0.0000 0.0000  12 Tl 3.46-3.54
Ce 0.0000 0.0000 0.3383  12 Tl 3.41-3.46
Ce 0.0000 0.0000 0.6617  12 Tl 3.41-3.46
Tl 0.5000 0.5000 0.0000  4 Ac 3.46, 8 Tl 3.54
Tl 0.5000 0.5000 0.3366  8 Tl 3.41-3.43, 4 Ce 3.46
Tl 0.5000 0.5000 0.6634  8 Tl 3.41-3.43, 4 Ce 3.46
Tl 0.5000 0.0000 0.1748  8 Tl 3.41-3.54, 2 Ce 3.43, 2 Ac 3.54
Tl 0.5000 0.0000 0.5000  4 Ce 3.41, 8 Tl 3.43-3.46
Tl 0.5000 0.0000 0.8252  8 Tl 3.41-3.54, 2 Ce 3.43, 2 Ac 3.54
Tl 0.0000 0.5000 0.1748  8 Tl 3.41-3.54, 2 Ce 3.43, 2 Ac 3.54
Tl 0.0000 0.5000 0.5000  4 Ce 3.41, 8 Tl 3.43-3.46
Tl 0.0000 0.5000 0.8252  8 Tl 3.41-3.54, 2 Ce 3.43, 2 Ac 3.54

Summary:
**Crystal system**: tetragonal
**Energy of formation**: -260 meV per atom
**SG**: P4/mmm (123)

---

[3]
This record from Alexandria via LeMat-Bulk describes a relaxed structure of CsGa2Au. The functional is GGA-PBE.

Unit cell a=4.5251 b=4.5251 c=7.2900 alpha=71.92 beta=71.92 gamma=60.00
Closest atoms and distances in Å follow each position.
Element x y z (fractional)
Cs 0.0000 0.0000 0.0000  8 Ga 3.85-3.97, 6 Au 4.29
Au 0.5000 0.5000 0.5000  6 Ga 2.67
Ga 0.1945 0.1945 0.4164  3 Au 2.67, 3 Ga 2.85
Ga 0.8055 0.8055 0.5836  3 Au 2.67, 3 Ga 2.85

Summary:
**Crystal system**: trigonal
**Energy of formation**: -224 meV per atom
**SG**: R-3m (166)

---

[4]
This record from Alexandria via LeMat-Bulk describes a relaxed structure of KTl2Cd. The functional is GGA-PBE.

Unit cell a=5.6133 b=5.6133 c=5.6133 alpha=60.00 beta=60.00 gamma=60.00
Closest atoms and distances in Å follow each position.
Element x y z (fractional)
Tl 0.0000 0.0000 0.0000  4 Tl 3.44, 4 K 3.44
Tl 0.2500 0.2500 0.2500  4 Cd 3.44, 4 Tl 3.44
K 0.7500 0.7500 0.7500  4 Cd 3.44, 4 Tl 3.44
Cd 0.5000 0.5000 0.5000  4 K 3.44, 4 Tl 3.44

Summary:
**Crystal system**: cubic
**Energy of formation**: -12 meV per atom
**SG**: F-43m (216)

---

[5]
This record from Alexandria via LeMat-Bulk describes a relaxed structure of GdTl2Pd. The functional is GGA-PBE.

Unit cell a=4.8533 b=4.4439 c=4.4439 alpha=90.00 beta=90.00 gamma=90.00
Closest atoms and distances in Å follow each position.
Element x y z (fractional)
Tl 0.0000 0.0000 0.5000  4 Tl 3.14, 4 Pd 3.29, 4 Gd 3.29
Tl 0.0000 0.5000 0.0000  4 Tl 3.14, 4 Gd 3.29, 4 Pd 3.29
Gd 0.5000 0.5000 0.5000  4 Pd 3.14, 8 Tl 3.29
Pd 0.5000 0.0000 0.0000  4 Gd 3.14, 8 Tl 3.29

Summary:
**Crystal system**: tetragonal
**Energy of formation**: -318 meV per atom
**SG**: P4/mmm (123)

---

[6]
This record from Alexandria via LeMat-Bulk describes a relaxed structure of La3Er4Sc. The functional is GGA-PBE.

Unit cell a=3.4936 b=11.7092 c=8.8524 alpha=131.38 beta=101.38 gamma=90.00
Closest atoms and distances in Å follow each position.
Element x y z (fractional)
Sc 0.5000 0.0000 0.0000  4 Er 3.31, 2 Sc 3.49, 4 La 3.55
Er 0.6335 0.3757 0.2671  1 Sc 3.31, 3 La 3.42-3.60, 5 Er 3.42-3.49
Er 0.3665 0.6243 0.7329  1 Sc 3.31, 3 La 3.42-3.60, 5 Er 3.42-3.49
Er 0.3665 0.1083 0.7330  1 Sc 3.31, 5 Er 3.42-3.49, 3 La 3.43-3.60
Er 0.6335 0.8917 0.2670  1 Sc 3.31, 5 Er 3.42-3.49, 3 La 3.43-3.60
La 0.0000 0.5000 0.0000  6 La 3.49-3.75, 8 Er 3.88-3.89
La 0.7592 0.7593 0.5185  6 Er 3.42-3.60, 4 La 3.49-3.75, 2 Sc 3.55
La 0.2408 0.2407 0.4815  6 Er 3.42-3.60, 4 La 3.49-3.75, 2 Sc 3.55

Summary:
**Crystal system**: orthorhombic
**Energy of formation**: 143 meV per atom
**SG**: Immm (71)

---

[7]
This record from Alexandria via LeMat-Bulk describes a relaxed structure of Pu3C. The functional is GGA-PBE.

Unit cell a=3.9771 b=3.9771 c=3.9771 alpha=90.00 beta=90.00 gamma=90.00
Closest atoms and distances in Å follow each position.
Element x y z (fractional)
C 0.0000 0.0000 0.0000  12 Pu 2.81
Pu 0.0000 0.5000 0.5000  8 Pu 2.81, 4 C 2.81
Pu 0.5000 0.0000 0.5000  8 Pu 2.81, 4 C 2.81
Pu 0.5000 0.5000 0.0000  8 Pu 2.81, 4 C 2.81

Summary:
**Crystal system**: cubic
**Energy of formation**: 753 meV per atom
**SG**: Pm-3m (221)

---

[8]
This record from Alexandria via LeMat-Bulk describes a relaxed structure of Pm4Pr3Y. The functional is GGA-PBE.

Unit cell a=6.4057 b=7.4143 c=11.8573 alpha=90.00 beta=90.00 gamma=90.00
Closest atoms and distances in Å follow each position.
Element x y z (fractional)
Pm 0.1500 0.8756 0.0000  6 Pm 3.64-3.71, 4 Pr 3.66-3.70, 2 Y 3.69-3.72
Pm 0.6473 0.1235 0.0000  6 Pm 3.63-3.71, 4 Pr 3.65-3.74, 2 Y 3.70-3.71
Pm 0.9795 0.1239 0.2478  6 Pm 3.63-3.69, 1 Y 3.63, 5 Pr 3.67-3.72
Pm 0.4795 0.8761 0.2522  6 Pm 3.63-3.69, 1 Y 3.63, 5 Pr 3.67-3.72
Pm 0.1473 0.8765 0.5000  6 Pm 3.63-3.71, 4 Pr 3.65-3.74, 2 Y 3.70-3.71
Pm 0.6500 0.1244 0.5000  6 Pm 3.64-3.71, 4 Pr 3.66-3.70, 2 Y 3.69-3.72
Pm 0.4795 0.8761 0.7478  6 Pm 3.63-3.69, 1 Y 3.63, 5 Pr 3.67-3.72
Pm 0.9795 0.1239 0.7522  6 Pm 3.63-3.69, 1 Y 3.63, 5 Pr 3.67-3.72
Pr 0.6484 0.6276 0.0000  4 Pr 3.66, 6 Pm 3.67-3.74, 2 Y 3.70-3.73
Pr 0.9822 0.6253 0.2503  6 Pm 3.65-3.72, 4 Pr 3.66-3.70, 2 Y 3.66
Pr 0.4822 0.3747 0.2497  6 Pm 3.65-3.72, 4 Pr 3.66-3.70, 2 Y 3.66
Pr 0.1484 0.3724 0.5000  4 Pr 3.66, 6 Pm 3.67-3.74, 2 Y 3.70-3.73
Pr 0.4822 0.3747 0.7503  6 Pm 3.65-3.72, 4 Pr 3.66-3.70, 2 Y 3.66
Pr 0.9822 0.6253 0.7497  6 Pm 3.65-3.72, 4 Pr 3.66-3.70, 2 Y 3.66
Y 0.1463 0.3737 0.0000  6 Pm 3.63-3.72, 6 Pr 3.66-3.73
Y 0.6463 0.6263 0.5000  6 Pm 3.63-3.72, 6 Pr 3.66-3.73

Summary:
**Crystal system**: orthorhombic
**Energy of formation**: 30 meV per atom
**SG**: Pmn2_1 (31)

---

[9]
This record from Alexandria via LeMat-Bulk describes a relaxed structure of Mg2AlPbN. The functional is GGA-PBE.

Unit cell a=5.7221 b=4.2434 c=5.7221 alpha=90.00 beta=90.00 gamma=90.00
Closest atoms and distances in Å follow each position.
Element x y z (fractional)
Pb 0.0000 0.0000 0.0000  2 N 2.12
Mg 0.0000 0.0000 0.5000  2 Pb 2.86
Mg 0.5000 0.0000 0.0000  2 Pb 2.86
Al 0.5000 0.5000 0.5000  8 Mg 3.56
N 0.0000 0.5000 0.0000  2 Pb 2.12

Summary:
**Crystal system**: tetragonal
**Energy relative to the elements, uncorrected**: 113 kJ per mole of atoms
**SG**: P4/mmm (123)

---

[10]
This record from Alexandria via LeMat-Bulk describes a relaxed structure of SmCuSi2Pt. The functional is GGA-PBE.

Unit cell a=4.0978 b=4.0978 c=5.8356 alpha=110.55 beta=110.55 gamma=90.00
Closest atoms and distances in Å follow each position.
Element x y z (fractional)
Sm 0.0000 0.0000 0.0000  8 Si 3.13, 4 Cu 3.26, 4 Pt 3.26
Cu 0.7500 0.2500 0.5000  4 Si 2.45
Si 0.6171 0.6171 0.2343  1 Si 2.37, 2 Cu 2.45, 2 Pt 2.45
Si 0.3829 0.3829 0.7657  1 Si 2.37, 2 Pt 2.45, 2 Cu 2.45
Pt 0.2500 0.7500 0.5000  4 Si 2.45

Summary:
**Crystal system**: tetragonal
**Energy relative to the elements, uncorrected**: -82 kJ per mole of atoms
**SG**: I-4m2 (119)

---

[11]
This record from Alexandria via LeMat-Bulk describes a relaxed structure of PuSc2AuO8. The functional is GGA-PBE.

Unit cell a=4.8912 b=4.8908 c=6.7198 alpha=85.09 beta=94.89 gamma=94.19
Closest atoms and distances in Å follow each position.
Element x y z (fractional)
Pu 0.0000 0.0000 0.0000  4 O 1.87-2.00
Sc 0.4726 0.5273 0.7345  6 O 2.07-2.22
Sc 0.5274 0.4727 0.2655  6 O 2.07-2.22
Au 0.0000 0.0000 0.5000  4 O 2.01-2.04
O 0.2194 0.7798 0.1805  1 Pu 1.87
O 0.7001 0.7007 0.9999  1 Pu 2.00, 2 Sc 2.22
O 0.8178 0.1822 0.2482  1 Au 2.01, 1 Sc 2.10, 1 Pu 2.23
O 0.7806 0.2202 0.8195  1 Pu 1.87
O 0.2999 0.2993 0.0001  1 Pu 2.00, 2 Sc 2.22
O 0.1822 0.8178 0.7518  1 Au 2.01, 1 Sc 2.10, 1 Pu 2.23
O 0.6943 0.6943 0.5000  1 Au 2.04, 2 Sc 2.07
O 0.3057 0.3057 0.5000  1 Au 2.04, 2 Sc 2.07

Summary:
**Crystal system**: monoclinic
**Energy relative to the elements, uncorrected**: -221 kJ per mole of atoms
**SG**: C2/m (12)

---

[12]
This record from Alexandria via LeMat-Bulk describes a relaxed structure of LaWAu2. The functional is GGA-PBE.

Unit cell a=10.2556 b=10.2556 c=10.2556 alpha=17.06 beta=17.06 gamma=17.06
Closest atoms and distances in Å follow each position.
Element x y z (fractional)
Au 0.0097 0.0097 0.0097  3 W 2.84, 6 Au 3.04
Au 0.4903 0.4903 0.4903  3 W 2.84, 6 Au 3.04
La 0.2500 0.2500 0.2500  6 La 3.04, 6 Au 3.32
W 0.7500 0.7500 0.7500  6 Au 2.84, 6 W 3.04

Summary:
**Crystal system**: trigonal
**Energy of formation**: 392 meV per atom
**SG**: R-3m (166)

---

[13]
This record from Alexandria via LeMat-Bulk describes a relaxed structure of LaPrNiPd. The functional is GGA-PBE.

Unit cell a=3.9385 b=4.5265 c=5.7896 alpha=90.00 beta=109.89 gamma=90.00
Closest atoms and distances in Å follow each position.
Element x y z (fractional)
La 0.8628 0.5000 0.7255  3 Ni 3.06-3.09, 4 Pd 3.06
Pr 0.1355 0.0000 0.2711  4 Ni 3.06, 3 Pd 3.07-3.10
Ni 0.5819 0.5000 0.1638  2 Pd 2.87, 4 Pr 3.06, 3 La 3.06-3.09
Pd 0.4198 0.0000 0.8396  2 Ni 2.87, 4 La 3.06, 3 Pr 3.07-3.10

Summary:
**Crystal system**: orthorhombic
**Energy of formation**: -545 meV per atom
**SG**: Amm2 (38)

---

[14]
This record from Alexandria via LeMat-Bulk describes a relaxed structure of Ti3CuCl. The functional is GGA-PBE.

Unit cell a=4.4239 b=4.4239 c=4.4239 alpha=90.00 beta=90.00 gamma=90.00
Closest atoms and distances in Å follow each position.
Element x y z (fractional)
Cl 0.0000 0.0000 0.0000  6 Ti 2.21
Cu 0.5000 0.5000 0.5000  12 Ti 3.13
Ti 0.0000 0.5000 0.0000  2 Cl 2.21
Ti 0.0000 0.0000 0.5000  2 Cl 2.21
Ti 0.5000 0.0000 0.0000  2 Cl 2.21

Summary:
**Crystal system**: cubic
**Energy relative to the elements, uncorrected**: 19 kJ per mole of atoms
**SG**: Pm-3m (221)

---

[15]
This record from Alexandria via LeMat-Bulk describes a relaxed structure of Tb3ScPt2. The functional is GGA-PBE.

Unit cell a=8.2116 b=8.2116 c=8.2116 alpha=146.29 beta=151.76 gamma=44.53
Closest atoms and distances in Å follow each position.
Element x y z (fractional)
Tb 0.5000 0.5000 0.0000  4 Pt 2.85, 4 Sc 3.11
Tb 0.3194 0.8194 0.5000  1 Pt 2.82
Tb 0.6806 0.1806 0.5000  1 Pt 2.82
Sc 0.0000 0.0000 0.0000  8 Tb 3.11-3.40, 4 Pt 3.13
Pt 0.8664 0.3664 0.5000  3 Tb 2.82-2.85, 2 Sc 3.13
Pt 0.1336 0.6336 0.5000  3 Tb 2.82-2.85, 2 Sc 3.13

Summary:
**Crystal system**: orthorhombic
**Energy of formation**: -853 meV per atom
**SG**: Immm (71)

---

[16]
This record from Alexandria via LeMat-Bulk describes a relaxed structure of NdZn5AgAu2. The functional is GGA-PBE.

Unit cell a=4.9213 b=4.9213 c=7.5795 alpha=90.00 beta=90.00 gamma=90.00
Closest atoms and distances in Å follow each position.
Element x y z (fractional)
Nd 0.0000 0.0000 0.5000  12 Zn 3.25-3.48
Zn 0.0000 0.5000 0.2190  2 Au 2.48
Zn 0.5000 0.0000 0.2190  2 Au 2.48
Zn 0.0000 0.5000 0.7810  2 Au 2.48
Zn 0.5000 0.0000 0.7810  2 Au 2.48
Zn 0.5000 0.5000 0.5000  2 Au 2.45
Ag 0.0000 0.0000 0.0000  8 Zn 2.97
Au 0.5000 0.5000 0.1765  5 Zn 2.45-2.48, 1 Au 2.68
Au 0.5000 0.5000 0.8235  5 Zn 2.45-2.48, 1 Au 2.68

Summary:
**Crystal system**: tetragonal
**Energy of formation**: -69 meV per atom
**SG**: P4/mmm (123)

---

[17]
This record from Alexandria via LeMat-Bulk describes a relaxed structure of ScCSe2N. The functional is GGA-PBE.

Unit cell a=5.1981 b=5.1981 c=4.0868 alpha=90.00 beta=90.00 gamma=90.00
Closest atoms and distances in Å follow each position.
Element x y z (fractional)
Sc 0.0000 0.0000 0.0000  2 N 2.04
C 0.5000 0.5000 0.5000  8 Se 3.31, 4 N 3.68
Se 0.0000 0.5000 0.0000  2 Sc 2.60
Se 0.5000 0.0000 0.0000  2 Sc 2.60
N 0.0000 0.0000 0.5000  2 Sc 2.04

Summary:
**Crystal system**: tetragonal
**Energy relative to the elements, uncorrected**: 144 kJ per mole of atoms
**SG**: P4/mmm (123)

---

[18]
This record from Alexandria via LeMat-Bulk describes a relaxed structure of Co2Cu2Pt. The functional is GGA-PBE.

Unit cell a=6.8011 b=6.8011 c=2.7401 alpha=90.00 beta=90.00 gamma=90.00
Closest atoms and distances in Å follow each position.
Element x y z (fractional)
Co 0.3833 0.8833 0.0000  1 Co 2.25, 6 Cu 2.40-2.47
Co 0.8833 0.6167 0.0000  1 Co 2.25, 6 Cu 2.40-2.47
Co 0.6167 0.1167 0.0000  1 Co 2.25, 6 Cu 2.40-2.47
Co 0.1167 0.3833 0.0000  1 Co 2.25, 6 Cu 2.40-2.47
Cu 0.1783 0.6783 0.5000  6 Co 2.40-2.47
Cu 0.6783 0.8217 0.5000  6 Co 2.40-2.47
Cu 0.8217 0.3217 0.5000  6 Co 2.40-2.47
Cu 0.3217 0.1783 0.5000  6 Co 2.40-2.47
Pt 0.0000 0.0000 0.0000  4 Co 2.72, 2 Pt 2.74, 8 Cu 2.85
Pt 0.5000 0.5000 0.0000  4 Co 2.72, 2 Pt 2.74, 8 Cu 2.85

Summary:
**Crystal system**: tetragonal
**Energy of formation**: 230 meV per atom
**SG**: P4/mbm (127)

---

[19]
This record from Alexandria via LeMat-Bulk describes a relaxed structure of Sr2MgPN4. The functional is GGA-PBE.

Unit cell a=4.7719 b=5.9293 c=10.2750 alpha=84.64 beta=76.57 gamma=66.27
Closest atoms and distances in Å follow each position.
Element x y z (fractional)
Sr 0.1801 0.0000 0.6398  4 N 2.76-2.86
Sr 0.8199 0.0000 0.3602  4 N 2.76-2.86
Sr 0.5699 0.5000 0.8602  4 N 2.76-2.86
Sr 0.9301 0.5000 0.1398  4 N 2.76-2.86
Mg 0.7500 0.5000 0.5000  4 N 2.00
Mg 0.0000 0.0000 0.0000  4 N 2.00
P 0.2500 0.5000 0.5000  4 N 1.67
P 0.5000 0.0000 0.0000  4 N 1.67
N 0.3520 0.8085 0.0913  1 P 1.67
N 0.2518 0.1915 0.9087  1 P 1.67
N 0.8395 0.8085 0.9087  1 P 1.67
N 0.5567 0.1915 0.0913  1 P 1.67
N 0.3980 0.6915 0.4087  1 P 1.67
N 0.4982 0.3085 0.5913  1 P 1.67
N 0.9105 0.6915 0.5913  1 P 1.67
N 0.1933 0.3085 0.4087  1 P 1.67

Summary:
**Crystal system**: orthorhombic
**Energy relative to the elements, uncorrected**: -45 kJ per mole of atoms
**SG**: Fddd (70)

---

[20]
This record from Alexandria via LeMat-Bulk describes a relaxed structure of MgNiAuSe. The functional is GGA-PBE.

Unit cell a=6.3485 b=3.8017 c=6.5619 alpha=90.00 beta=110.35 gamma=90.00
Closest atoms and distances in Å follow each position.
Element x y z (fractional)
Mg 0.8303 0.0000 0.7529  3 Au 2.73, 1 Ni 2.77, 3 Se 2.88-2.90
Mg 0.8303 0.5000 0.2529  3 Au 2.73, 1 Ni 2.77, 3 Se 2.88-2.90
Ni 0.2950 0.0000 0.9067  3 Se 2.36
Ni 0.2950 0.5000 0.4067  3 Se 2.36
Au 0.5564 0.0000 0.3274  3 Ni 2.68-2.69, 3 Mg 2.73
Au 0.5564 0.5000 0.8274  3 Ni 2.68-2.69, 3 Mg 2.73
Se 0.1468 0.0000 0.5231  3 Ni 2.36
Se 0.1468 0.5000 0.0231  3 Ni 2.36

Summary:
**Crystal system**: monoclinic
**Energy relative to the elements, uncorrected**: -28 kJ per mole of atoms
**SG**: Cm (8)

---

Going through the records in order, we get M_tot values of 0.000; 0.171; 0.000; 0.000; 1.820; 0.001; 2.093; 0.000; 0.000; 0.000; 0.082; 0.166; 0.000; 0.000; 0.000; 0.000; 0.423; 0.749; 0.106; 0.000 μB per atom.